1.
Sm2HoAg3Te6: relaxed, PBE.

Summary:
energy	-4.30	eV per atom
magnetic moment	0.0	μB/f.u.

abc: 10.1736 10.1736 8.5190
angles: 102.76 102.76 25.19
Closest atoms and distances in Å follow each position.
Sites, in units of the cell vectors:
Sm  0.1721  0.1721  0.3072  6 Te 3.15-3.23, 2 Ag 3.45
Sm  0.8279  0.8279  0.6928  6 Te 3.15-3.23, 2 Ag 3.45
Ho  0.5000  0.5000  0.0000  6 Te 3.09-3.10
Ag  0.2064  0.2064  0.7714  3 Te 2.80-2.82
Ag  0.5000  0.5000  0.5000  6 Te 3.07-3.12
Ag  0.7936  0.7936  0.2286  3 Te 2.80-2.82
Te  0.0102  0.0102  0.2568  2 Ag 3.07, 2 Ho 3.09, 1 Sm 3.15
Te  0.3386  0.3386  0.4300  3 Ag 2.82-3.12
Te  0.3412  0.3412  0.9611  1 Ag 2.80, 1 Ho 3.10
Te  0.6588  0.6588  0.0389  1 Ag 2.80, 1 Ho 3.10
Te  0.6614  0.6614  0.5700  3 Ag 2.82-3.12
Te  0.9898  0.9898  0.7432  2 Ag 3.07, 2 Ho 3.09, 1 Sm 3.15

***

2.
Nd8Th3: relaxed, PBE.

Summary:
energy	-5.04	eV per atom
magnetic moment	0.0	μB/f.u.
formation enthalpy at 0 K	0.45	eV/atom

abc: 7.6892 7.6892 7.6892
angles: 105.78 105.78 105.78
Closest atoms and distances in Å follow each position.
Sites, in units of the cell vectors:
Nd  0.1836  0.5592  0.6746  3 Nd 3.03-3.19, 2 Th 3.26-3.36
Nd  0.2276  0.2276  0.2276  3 Th 3.58, 3 Nd 3.84
Nd  0.3254  0.8164  0.4408  3 Nd 3.03-3.19, 2 Th 3.26-3.36
Nd  0.4408  0.3254  0.8164  3 Nd 3.03-3.19, 2 Th 3.26-3.36
Nd  0.5592  0.6746  0.1836  3 Nd 3.03-3.19, 2 Th 3.26-3.36
Nd  0.6746  0.1836  0.5592  3 Nd 3.03-3.19, 2 Th 3.26-3.36
Nd  0.7724  0.7724  0.7724  3 Th 3.58, 3 Nd 3.84
Nd  0.8164  0.4408  0.3254  3 Nd 3.03-3.19, 2 Th 3.26-3.36
Th  0.0000  0.0000  0.5000  6 Nd 3.26-3.58
Th  0.0000  0.5000  0.0000  6 Nd 3.26-3.58
Th  0.5000  0.0000  0.0000  6 Nd 3.26-3.58

***

3.
Hf5Re4Ni: relaxed, PBE.

Summary:
energy	-10.91	eV per atom
magnetic moment	0.0	μB/f.u.
formation enthalpy at 0 K	-0.37	eV/atom

abc: 3.2794 3.2794 16.1887
angles: 90.00 90.00 90.00
Closest atoms and distances in Å follow each position.
Sites, in units of the cell vectors:
Hf  0.0000  0.0000  0.0000  8 Re 2.84
Hf  0.0000  0.0000  0.2029  8 Re 2.84-2.86
Hf  0.0000  0.0000  0.4015  4 Re 2.78, 4 Ni 2.81
Hf  0.0000  0.0000  0.5985  4 Re 2.78, 4 Ni 2.81
Hf  0.0000  0.0000  0.7971  8 Re 2.84-2.86
Re  0.5000  0.5000  0.1012  8 Hf 2.84
Re  0.5000  0.5000  0.3064  8 Hf 2.78-2.86
Re  0.5000  0.5000  0.6936  8 Hf 2.78-2.86
Re  0.5000  0.5000  0.8988  8 Hf 2.84
Ni  0.5000  0.5000  0.5000  8 Hf 2.81, 2 Re 3.13

***

4.
Sr3Li8Al: relaxed, PBE.

Summary:
energy	-1.99	eV per atom
magnetic moment	0.0	μB/f.u.
formation enthalpy at 0 K	0.02	eV/atom

abc: 10.9336 10.9336 10.9336
angles: 31.81 31.81 31.81
Closest atoms and distances in Å follow each position.
Sites, in units of the cell vectors:
Sr  0.0000  0.0000  0.0000  12 Li 3.32-3.60, 3 Al 3.58
Sr  0.1303  0.1303  0.1303  12 Li 3.56-3.90, 3 Sr 3.95
Sr  0.5247  0.5247  0.5247  9 Li 3.40-3.62, 1 Al 3.50
Li  0.0530  0.5694  0.5694  5 Li 2.90-3.09
Li  0.0796  0.0796  0.5700  6 Li 2.89-3.21
Li  0.0796  0.5700  0.0796  6 Li 2.89-3.21
Li  0.3184  0.3184  0.3184  6 Li 2.89-3.03
Li  0.5694  0.0531  0.5694  5 Li 2.90-3.09
Li  0.5694  0.5694  0.0531  5 Li 2.90-3.09
Li  0.5700  0.0796  0.0796  6 Li 2.89-3.21
Li  0.8234  0.8234  0.8234  6 Li 3.21-3.34, 3 Sr 3.56
Al  0.6372  0.6372  0.6372  12 Li 3.35-3.54, 4 Sr 3.50-3.58

***

5.
Y3In2Hg4: relaxed, PBE.

Summary:
energy	-3.34	eV per atom
magnetic moment	0.0	μB/f.u.
formation enthalpy at 0 K	-0.44	eV/atom

abc: 6.0853 6.0853 9.2722
angles: 114.73 114.73 47.56
Closest atoms and distances in Å follow each position.
Sites, in units of the cell vectors:
Y  0.0000  0.0000  0.0000  8 Hg 3.20-3.58, 4 In 3.34, 2 Y 3.57
Y  0.3345  0.3345  0.3284  4 Hg 3.14-3.25, 4 In 3.31-3.44
Y  0.6655  0.6655  0.6716  4 Hg 3.14-3.25, 4 In 3.31-3.44
In  0.3915  0.3915  0.7260  3 Hg 2.88
In  0.6085  0.6085  0.2740  3 Hg 2.88
Hg  0.0875  0.0875  0.4227  2 In 2.88, 1 Hg 2.90, 2 Y 3.20
Hg  0.3068  0.3068  0.9763  1 In 2.88, 2 Hg 2.89, 3 Y 3.14-3.20
Hg  0.6932  0.6932  0.0237  1 In 2.88, 2 Hg 2.89, 3 Y 3.14-3.20
Hg  0.9125  0.9125  0.5773  2 In 2.88, 1 Hg 2.90, 2 Y 3.20

***

6.
TiAlO2F: relaxed, PBE.

Summary:
energy	-6.97	eV per atom
magnetic moment	2.0	μB/f.u.

abc: 3.7761 3.7761 3.5455
angles: 90.00 90.00 90.00
Closest atoms and distances in Å follow each position.
Sites, in units of the cell vectors:
Ti  0.0000  0.0000  0.0000  8 O 2.59, 4 F 2.67
Al  0.5000  0.5000  0.5000  2 F 1.77, 4 O 1.89
O  0.0000  0.5000  0.5000  2 Al 1.89
O  0.5000  0.0000  0.5000  2 Al 1.89
F  0.5000  0.5000  0.0000  2 Al 1.77

***

7.
TaCr3Cu2S8: relaxed, PBE.

Summary:
energy	-6.34	eV per atom
magnetic moment	9.0	μB/f.u.

abc: 6.3864 7.2459 12.6444
angles: 97.42 94.73 90.53
Closest atoms and distances in Å follow each position.
Sites, in units of the cell vectors:
Ta  0.1415  0.2035  0.2915  4 S 2.28-2.35
Ta  0.8585  0.7965  0.7085  4 S 2.28-2.35
Cr  0.2441  0.3808  0.9997  6 S 2.39-2.46
Cr  0.3693  0.5499  0.7178  4 S 2.23-2.34
Cr  0.3699  0.0606  0.7233  4 S 2.23-2.33
Cr  0.6301  0.9394  0.2767  4 S 2.23-2.33
Cr  0.6307  0.4501  0.2822  4 S 2.23-2.34
Cr  0.7559  0.6192  0.0003  6 S 2.39-2.46
Cu  0.1221  0.6955  0.2755  4 S 2.26-2.32
Cu  0.2637  0.8688  0.0029  5 S 2.36-2.58
Cu  0.7363  0.1312  0.9971  5 S 2.36-2.58
Cu  0.8779  0.3045  0.7245  4 S 2.26-2.32
S  0.0988  0.6504  0.0934  2 Cu 2.28-2.36, 2 Cr 2.39
S  0.1089  0.1559  0.1092  1 Ta 2.28, 1 Cr 2.46
S  0.1927  0.2859  0.6540  2 Cr 2.23, 1 Cu 2.26
S  0.1929  0.7895  0.6429  2 Cr 2.33-2.34, 1 Ta 2.35
S  0.3137  0.4778  0.3606  1 Ta 2.30, 1 Cu 2.32, 1 Cr 2.33
S  0.3144  0.9563  0.3555  1 Ta 2.31, 1 Cu 2.32, 1 Cr 2.32
S  0.3844  0.1017  0.9023  2 Cr 2.24-2.45, 2 Cu 2.40-2.45
S  0.4100  0.5908  0.8982  3 Cr 2.26-2.46, 1 Cu 2.50
S  0.5900  0.4092  0.1018  3 Cr 2.26-2.46, 1 Cu 2.50
S  0.6156  0.8983  0.0977  2 Cr 2.24-2.45, 2 Cu 2.40-2.45
S  0.6856  0.0437  0.6445  1 Ta 2.31, 1 Cu 2.32, 1 Cr 2.32
S  0.6863  0.5222  0.6394  1 Ta 2.30, 1 Cu 2.32, 1 Cr 2.33
S  0.8071  0.2105  0.3571  2 Cr 2.33-2.34, 1 Ta 2.35
S  0.8073  0.7141  0.3460  2 Cr 2.23, 1 Cu 2.26
S  0.8911  0.8441  0.8908  1 Ta 2.28, 1 Cr 2.46
S  0.9012  0.3496  0.9066  2 Cu 2.28-2.36, 2 Cr 2.39

***

8.
HgSb2F8: relaxed, PBE.

Summary:
energy	-4.22	eV per atom
magnetic moment	0.0	μB/f.u.

abc: 6.9212 6.9212 9.1094
angles: 102.77 102.77 74.46
Closest atoms and distances in Å follow each position.
Sites, in units of the cell vectors:
Hg  0.1449  0.8551  0.7500  2 F 2.14
Hg  0.8551  0.1449  0.2500  2 F 2.14
Sb  0.2684  0.3186  0.9714  3 F 1.97-2.04
Sb  0.3186  0.2684  0.4714  3 F 1.97-2.04
Sb  0.6814  0.7316  0.5286  3 F 1.97-2.04
Sb  0.7316  0.6814  0.0286  3 F 1.97-2.04
F  0.0006  0.7538  0.5237  1 Hg 2.14, 1 Sb 2.27
F  0.0245  0.6539  0.1090  1 Sb 1.97
F  0.1603  0.3090  0.2648  1 Sb 1.99
F  0.2462  0.9994  0.9763  1 Hg 2.14, 1 Sb 2.27
F  0.2900  0.5503  0.8747  1 Sb 2.04
F  0.3090  0.1603  0.7648  1 Sb 1.99
F  0.3461  0.9755  0.3910  1 Sb 1.97
F  0.4497  0.7100  0.6253  1 Sb 2.04
F  0.5503  0.2900  0.3747  1 Sb 2.04
F  0.6539  0.0245  0.6090  1 Sb 1.97
F  0.6910  0.8397  0.2352  1 Sb 1.99
F  0.7100  0.4497  0.1253  1 Sb 2.04
F  0.7538  0.0006  0.0237  1 Hg 2.14, 1 Sb 2.27
F  0.8397  0.6910  0.7352  1 Sb 1.99
F  0.9755  0.3461  0.8910  1 Sb 1.97
F  0.9994  0.2462  0.4763  1 Hg 2.14, 1 Sb 2.27

***

9.
Ca2MnCl: relaxed, PBE.

Summary:
energy	-4.11	eV per atom
magnetic moment	3.7	μB/f.u.

abc: 12.6368 3.8412 4.5791
angles: 90.00 90.62 90.00
Closest atoms and distances in Å follow each position.
Sites, in units of the cell vectors:
Ca  0.0000  0.0000  0.0000  1 Cl 2.84, 4 Mn 3.06
Ca  0.2148  0.5000  0.5057  4 Cl 2.99-3.00
Ca  0.5000  0.5000  0.0000  1 Cl 2.84, 4 Mn 3.06
Ca  0.7148  0.0000  0.5057  4 Cl 2.99-3.00
Mn  0.4474  0.0000  0.4994  5 Ca 3.06-3.38
Mn  0.9474  0.5000  0.4994  5 Ca 3.06-3.38
Cl  0.2249  0.0000  0.0071  5 Ca 2.84-3.00
Cl  0.7249  0.5000  0.0071  5 Ca 2.84-3.00

***

10.
Dy2Er2Tm5: relaxed, PBE.

Summary:
energy	-4.29	eV per atom
magnetic moment	0.0	μB/f.u.
formation enthalpy at 0 K	0.23	eV/atom

abc: 9.9126 9.9126 9.9126
angles: 84.18 109.05 140.81
Closest atoms and distances in Å follow each position.
Sites, in units of the cell vectors:
Dy  0.0091  0.1280  0.1371  4 Tm 3.26-3.62, 2 Er 3.47-3.48, 1 Dy 3.59
Dy  0.0091  0.3720  0.3811  4 Tm 3.26-3.62, 2 Er 3.47-3.48, 1 Dy 3.59
Dy  0.9909  0.6280  0.6189  4 Tm 3.26-3.62, 2 Er 3.47-3.48, 1 Dy 3.59
Dy  0.9909  0.8720  0.8629  4 Tm 3.26-3.62, 2 Er 3.47-3.48, 1 Dy 3.59
Er  0.4280  0.6946  0.2335  3 Tm 3.26-3.37, 2 Dy 3.47
Er  0.4611  0.1946  0.7665  3 Tm 3.26-3.37, 2 Dy 3.47
Er  0.5604  0.0604  0.5000  4 Tm 3.19-3.54, 2 Dy 3.48
Er  0.5604  0.5604  0.0000  4 Tm 3.19-3.54, 2 Dy 3.48
Tm  0.1088  0.2941  0.7074  4 Tm 3.13-3.33, 1 Er 3.19, 1 Dy 3.26
Tm  0.1088  0.9014  0.3147  4 Tm 3.13-3.33, 1 Er 3.19, 1 Dy 3.26
Tm  0.4161  0.4053  0.5108  6 Tm 3.17-3.54, 1 Er 3.26
Tm  0.4291  0.0266  0.1178  4 Tm 3.13-3.33, 1 Dy 3.30, 1 Er 3.37
Tm  0.4291  0.8113  0.9025  4 Tm 3.13-3.33, 1 Dy 3.30, 1 Er 3.37
Tm  0.5867  0.4014  0.2926  4 Tm 3.13-3.33, 1 Er 3.19, 1 Dy 3.26
Tm  0.5867  0.7941  0.6853  4 Tm 3.13-3.33, 1 Er 3.19, 1 Dy 3.26
Tm  0.8946  0.9053  0.4892  6 Tm 3.17-3.54, 1 Er 3.26
Tm  0.9088  0.3113  0.8822  4 Tm 3.13-3.33, 1 Dy 3.30, 1 Er 3.37
Tm  0.9088  0.5266  0.0975  4 Tm 3.13-3.33, 1 Dy 3.30, 1 Er 3.37